# ThMg2Cd2Hg2

A relaxed structure of ThMg2Cd2Hg2 (GGA-PBE, Alexandria). Values from VASP.

Quantum ESPRESSO input file:
```
&SYSTEM
  ibrav = 0, nat = 7, ntyp = 4
/
ATOMIC_SPECIES
Th 232.04 Th.upf
Mg 24.30 Mg.upf
Cd 112.41 Cd.upf
Hg 200.59 Hg.upf
CELL_PARAMETERS angstrom
2.4503 1.4147 8.4998
-2.4503 1.4147 8.4998
0.0000 -2.8294 8.4998
ATOMIC_POSITIONS crystal
Th 0.0000 0.0000 0.0000
Mg 0.1328 0.1328 0.1328
Mg 0.8672 0.8672 0.8672
Cd 0.2501 0.2501 0.2501
Cd 0.7499 0.7499 0.7499
Hg 0.3959 0.3959 0.3959
Hg 0.6041 0.6041 0.6041
```

Calculated values
DFT formation energy	-0.139	eV/atom
calculated density	8.52	g cm⁻³
calculated total energy	-2.002	eV/atom


# MgTiCd2Hg

A relaxed structure of MgTiCd2Hg (GGA-PBE, Alexandria). Values from VASP.

Quantum ESPRESSO input file:
```
&SYSTEM
  ibrav = 0, nat = 5, ntyp = 4
/
ATOMIC_SPECIES
Mg 24.30 Mg.upf
Ti 47.87 Ti.upf
Cd 112.41 Cd.upf
Hg 200.59 Hg.upf
CELL_PARAMETERS angstrom
5.1289 0.0000 0.0000
0.0000 5.1289 0.0000
0.0000 0.0000 5.2728
ATOMIC_POSITIONS crystal
Mg 0.0000 0.0000 0.0000
Ti 0.0000 0.0000 0.5000
Cd 0.0000 0.5000 0.0000
Cd 0.5000 0.0000 0.0000
Hg 0.5000 0.5000 0.5000
```

Calculated values
DFT formation energy	0.753	eV/atom
calculated density	5.96	g cm⁻³
calculated total energy	-1.571	eV/atom


# Mg5Tl2Cd2Hg

A relaxed structure of Mg5Tl2Cd2Hg (GGA-PBE, Alexandria). Values from VASP.

Quantum ESPRESSO input file:
```
&SYSTEM
  ibrav = 0, nat = 20, ntyp = 4
/
ATOMIC_SPECIES
Mg 24.30 Mg.upf
Tl 204.38 Tl.upf
Cd 112.41 Cd.upf
Hg 200.59 Hg.upf
CELL_PARAMETERS angstrom
12.1142 0.0000 0.0000
0.0000 12.1142 0.0000
0.0000 0.0000 3.3283
ATOMIC_POSITIONS crystal
Mg 0.0000 0.5000 0.0000
Mg 0.0129 0.2000 0.0000
Mg 0.2000 0.9871 0.0000
Mg 0.3000 0.4871 0.0000
Mg 0.4871 0.7000 0.0000
Mg 0.5000 0.0000 0.0000
Mg 0.5129 0.3000 0.0000
Mg 0.7000 0.5129 0.0000
Mg 0.8000 0.0129 0.0000
Mg 0.9871 0.8000 0.0000
Tl 0.1700 0.6700 0.5000
Tl 0.3300 0.1700 0.5000
Tl 0.6700 0.8300 0.5000
Tl 0.8300 0.3300 0.5000
Cd 0.1477 0.3523 0.5000
Cd 0.3523 0.8523 0.5000
Cd 0.6477 0.1477 0.5000
Cd 0.8523 0.6477 0.5000
Hg 0.0000 0.0000 0.5000
Hg 0.5000 0.5000 0.5000
```

Calculated values
DFT formation energy	-0.040	eV/atom
calculated density	6.50	g cm⁻³
calculated total energy	-1.524	eV/atom


# Mg2TlCd2Hg7

A relaxed structure of Mg2TlCd2Hg7 (GGA-PBE, Alexandria). Values from VASP.

Quantum ESPRESSO input file:
```
&SYSTEM
  ibrav = 0, nat = 12, ntyp = 4
/
ATOMIC_SPECIES
Mg 24.30 Mg.upf
Tl 204.38 Tl.upf
Cd 112.41 Cd.upf
Hg 200.59 Hg.upf
CELL_PARAMETERS angstrom
-2.7507 9.7840 2.7832
2.7507 -9.7840 2.7832
2.7507 9.7840 -2.7832
ATOMIC_POSITIONS crystal
Mg 0.2492 0.0000 0.2492
Mg 0.7508 0.0000 0.7508
Tl 0.5425 0.5425 0.0000
Cd 0.1199 0.4610 0.6590
Cd 0.8020 0.4610 0.3410
Hg 0.1275 0.0354 0.0922
Hg 0.3285 0.5146 0.8139
Hg 0.3684 0.9605 0.4079
Hg 0.5527 0.9605 0.5921
Hg 0.7007 0.5146 0.1861
Hg 0.9432 0.0354 0.9078
Hg 0.9689 0.4689 0.5000
```

Calculated values
DFT formation energy	-0.036	eV/atom
calculated density	10.43	g cm⁻³
calculated total energy	-0.828	eV/atom


# MgTl2Cd2Hg7

A relaxed structure of MgTl2Cd2Hg7 (GGA-PBE, Alexandria). Values from VASP.

Quantum ESPRESSO input file:
```
&SYSTEM
  ibrav = 0, nat = 12, ntyp = 4
/
ATOMIC_SPECIES
Mg 24.30 Mg.upf
Tl 204.38 Tl.upf
Cd 112.41 Cd.upf
Hg 200.59 Hg.upf
CELL_PARAMETERS angstrom
3.1843 -3.1201 0.0000
3.1843 3.1201 0.0000
-1.7831 0.0000 15.9520
ATOMIC_POSITIONS crystal
Mg 0.0000 0.0000 0.0000
Tl 0.1147 0.1147 0.3342
Tl 0.8853 0.8853 0.6658
Cd 0.4060 0.4060 0.7154
Cd 0.5940 0.5940 0.2846
Hg 0.0530 0.5540 0.1475
Hg 0.2738 0.2738 0.5298
Hg 0.4460 0.9470 0.8525
Hg 0.5000 0.5000 0.0000
Hg 0.5540 0.0530 0.1475
Hg 0.7262 0.7262 0.4702
Hg 0.9470 0.4460 0.8525
```

Calculated values
DFT formation energy	-0.012	eV/atom
calculated density	10.80	g cm⁻³
calculated total energy	-0.868	eV/atom


# Mg5TlCdHg2

A relaxed structure of Mg5TlCdHg2 (GGA-PBE, Alexandria). Values from VASP.

Quantum ESPRESSO input file:
```
&SYSTEM
  ibrav = 0, nat = 18, ntyp = 4
/
ATOMIC_SPECIES
Mg 24.30 Mg.upf
Tl 204.38 Tl.upf
Cd 112.41 Cd.upf
Hg 200.59 Hg.upf
CELL_PARAMETERS angstrom
-3.8967 3.8967 7.2078
3.8967 -3.8967 7.2078
3.8967 3.8967 -7.2078
ATOMIC_POSITIONS crystal
Mg 0.0000 0.0000 0.0000
Mg 0.0737 0.5737 0.9231
Mg 0.1506 0.0737 0.5000
Mg 0.3494 0.8494 0.9231
Mg 0.4263 0.3494 0.5000
Mg 0.5000 0.5000 0.0000
Mg 0.5737 0.6506 0.5000
Mg 0.6506 0.1506 0.0769
Mg 0.8494 0.9263 0.5000
Mg 0.9263 0.4263 0.0769
Tl 0.2500 0.7500 0.5000
Tl 0.7500 0.2500 0.5000
Cd 0.2500 0.2500 0.0000
Cd 0.7500 0.7500 0.0000
Hg 0.1256 0.3744 0.5000
Hg 0.3744 0.8744 0.2489
Hg 0.6256 0.1256 0.7511
Hg 0.8744 0.6256 0.5000
```

Calculated values
DFT formation energy	-0.016	eV/atom
calculated density	6.37	g cm⁻³
calculated total energy	-1.334	eV/atom


# MgTlCdHg3

A relaxed structure of MgTlCdHg3 (GGA-PBE, Alexandria). Values from VASP.

Quantum ESPRESSO input file:
```
&SYSTEM
  ibrav = 0, nat = 12, ntyp = 4
/
ATOMIC_SPECIES
Mg 24.30 Mg.upf
Tl 204.38 Tl.upf
Cd 112.41 Cd.upf
Hg 200.59 Hg.upf
CELL_PARAMETERS angstrom
1.8303 -7.8464 0.0000
1.8303 7.8464 0.0000
0.0000 0.0000 10.5753
ATOMIC_POSITIONS crystal
Mg 0.0000 0.0000 0.0000
Mg 0.0000 0.0000 0.5000
Tl 0.2284 0.7716 0.7500
Tl 0.7716 0.2284 0.2500
Cd 0.4476 0.5524 0.2500
Cd 0.5524 0.4476 0.7500
Hg 0.1007 0.8993 0.2500
Hg 0.3428 0.6572 0.0013
Hg 0.3428 0.6572 0.4987
Hg 0.6572 0.3428 0.5013
Hg 0.6572 0.3428 0.9987
Hg 0.8993 0.1007 0.7500
```

Calculated values
DFT formation energy	-0.028	eV/atom
calculated density	10.31	g cm⁻³
calculated total energy	-0.991	eV/atom


# MgTlCdHg6

A relaxed structure of MgTlCdHg6 (GGA-PBE, Alexandria). Values from VASP.

Quantum ESPRESSO input file:
```
&SYSTEM
  ibrav = 0, nat = 18, ntyp = 4
/
ATOMIC_SPECIES
Mg 24.30 Mg.upf
Tl 204.38 Tl.upf
Cd 112.41 Cd.upf
Hg 200.59 Hg.upf
CELL_PARAMETERS angstrom
-3.1933 5.3115 7.6910
3.1933 -5.3115 7.6910
3.1933 5.3115 -7.6910
ATOMIC_POSITIONS crystal
Mg 0.0000 0.0000 0.0000
Mg 0.5000 0.0000 0.5000
Tl 0.4547 0.7047 0.7500
Tl 0.5453 0.2953 0.2500
Cd 0.0000 0.0000 0.5000
Cd 0.0000 0.5000 0.0000
Hg 0.1371 0.4096 0.2507
Hg 0.1371 0.8864 0.7275
Hg 0.2297 0.4797 0.7500
Hg 0.3255 0.0755 0.2500
Hg 0.3411 0.1136 0.7507
Hg 0.3411 0.5904 0.2275
Hg 0.6589 0.4096 0.7725
Hg 0.6589 0.8864 0.2493
Hg 0.6745 0.9245 0.7500
Hg 0.7703 0.5203 0.2500
Hg 0.8629 0.1136 0.2725
Hg 0.8629 0.5904 0.7493
```

Calculated values
DFT formation energy	0.018	eV/atom
calculated density	9.83	g cm⁻³
calculated total energy	-0.725	eV/atom


Repeat the fifth record exactly.
# MgTl2Cd2Hg7

A relaxed structure of MgTl2Cd2Hg7 (GGA-PBE, Alexandria). Values from VASP.

Quantum ESPRESSO input file:
```
&SYSTEM
  ibrav = 0, nat = 12, ntyp = 4
/
ATOMIC_SPECIES
Mg 24.30 Mg.upf
Tl 204.38 Tl.upf
Cd 112.41 Cd.upf
Hg 200.59 Hg.upf
CELL_PARAMETERS angstrom
3.1843 -3.1201 0.0000
3.1843 3.1201 0.0000
-1.7831 0.0000 15.9520
ATOMIC_POSITIONS crystal
Mg 0.0000 0.0000 0.0000
Tl 0.1147 0.1147 0.3342
Tl 0.8853 0.8853 0.6658
Cd 0.4060 0.4060 0.7154
Cd 0.5940 0.5940 0.2846
Hg 0.0530 0.5540 0.1475
Hg 0.2738 0.2738 0.5298
Hg 0.4460 0.9470 0.8525
Hg 0.5000 0.5000 0.0000
Hg 0.5540 0.0530 0.1475
Hg 0.7262 0.7262 0.4702
Hg 0.9470 0.4460 0.8525
```

Calculated values
DFT formation energy	-0.012	eV/atom
calculated density	10.80	g cm⁻³
calculated total energy	-0.868	eV/atom


- Number 5 is which compound?
  MgTl2Cd2Hg7


- What is the calculated density in the fifth record?
  10.80 g cm⁻³